VNi2AsO6 | PBE with a Hubbard U | optimized geometry

## Properties
* space-group type: No. 99
* calculated total energy: -5.638 eV/atom

Cell and atoms, written as extended XYZ:
```
10
Lattice="-0.054 1.107 5.280 1.252 -5.094 1.081 5.207 1.236 -0.206" Properties=species:S:1:pos:R:3 pbc="T T T"
Ni 0.582 -1.632 4.904
Ni 2.559 1.533 4.260
O -0.012 0.238 1.135
O 4.121 0.410 4.177
O 3.211 -1.546 2.266
O 4.711 -1.991 4.686
O 2.256 -2.573 4.784
O 1.666 -0.172 4.274
As -0.028 0.577 2.750
V 3.195 -1.211 3.861
```